[1]
AgRu2Se PBE relaxed; electronic total energy = -23.021 eV/cell; M_tot = 0.00 μB per atom; calculated volume = 15.9 A^3/atom; formation energy without anion corrections = 467 meV/atom
1.0
-2.163 3.323 -0.015
-0.803 -0.536 -2.858
-4.619 -3.004 0.346
Se Ru Ag
1 2 1
direct
0.500 0.250 0.250 Se
0.000 0.113 0.029 Ru
0.000 0.387 0.471 Ru
0.500 0.750 0.750 Ag


[2]
AgRu2Se PBE relaxed; electronic total energy = -23.374 eV/cell; M_tot = 0.00 μB per atom; calculated volume = 17.0 A^3/atom; formation energy without anion corrections = 378 meV/atom
1.0
-1.515 -1.902 1.480
-1.202 -1.437 -3.077
5.152 -4.159 -0.071
Ru Ag Se
2 1 1
direct
0.500 0.500 0.235 Ru
0.000 0.000 0.045 Ru
0.500 0.500 0.779 Ag
0.000 0.000 0.441 Se